A plane-wave DFT calculation with SCAN was carried out for a crystal of SbPb3 relaxed with PBEsol.

Cell: 4.881 4.881 4.881 Å, 90.00 90.00 90.00°
Positions (direct):
Pb  0.500  0.500  0.000
Pb  0.500  0.000  0.500
Pb  0.000  0.500  0.500
Sb  0.000  0.000  0.000

Values from the calculation:
Space group: Pm-3m (221)
Energy relative to the elements, uncorrected in eV per atom: 0.067
Calculated volume in Å³/cell: 116